# Y4PdSe2S (PBE, relaxed)
data_Y4PdSe2S
_cell_length_a 7.080
_cell_length_b 3.991
_cell_length_c 7.089
_cell_angle_alpha 90.00
_cell_angle_beta 108.94
_cell_angle_gamma 90.00
_space_group_name_H-M_alt 'P 1 2/m 1'
_space_group_IT_number 10
_space_group_name_Hall '-P 2y'
loop_
_atom_site_label
_atom_site_type_symbol
_atom_site_fract_x
_atom_site_fract_y
_atom_site_fract_z
Y1 Y 0.237 0.000 0.247
Y2 Y 0.238 0.500 0.741
Pd1 Pd 0.000 0.500 0.000
Se1 Se 0.500 0.000 0.000
Se2 Se 0.500 0.500 0.500
S1 S 0.000 0.000 0.500
# formation energy from raw total energies: -1.58 eV/atom
# energy: -6.847 eV/atom
# spin magnetization: 0.0 Bohr magnetons per cell

# MnMoAu2 (PBE, relaxed)
data_MnMoAu2
_cell_length_a 4.034
_cell_length_b 4.034
_cell_length_c 4.096
_cell_angle_alpha 90.00
_cell_angle_beta 90.00
_cell_angle_gamma 90.00
_space_group_name_H-M_alt 'P 4/m m m'
_space_group_IT_number 123
_space_group_name_Hall '-P 4 2'
loop_
_atom_site_label
_atom_site_type_symbol
_atom_site_fract_x
_atom_site_fract_y
_atom_site_fract_z
Mn1 Mn 0.000 0.000 0.000
Mo1 Mo 0.500 0.500 0.000
Au1 Au 0.000 0.500 0.500
# formation energy from the elements: 0.324 eV/atom
# energy: -6.315 eV/atom
# energy above the lowest structure with this stoichiometry: 190 meV/atom
# spin magnetization: 1.3 Bohr magnetons per cell

# LaYCd (PBE, relaxed)
data_LaYCd
_cell_length_a 5.3663
_cell_length_b 5.3663
_cell_length_c 3.6743
_cell_angle_alpha 90.00
_cell_angle_beta 90.00
_cell_angle_gamma 120.00
_space_group_name_H-M_alt 'P 3 m 1'
_space_group_IT_number 156
_space_group_name_Hall 'P 3 -2"'
loop_
_atom_site_label
_atom_site_type_symbol
_atom_site_fract_x
_atom_site_fract_y
_atom_site_fract_z
La1 La 0.0000 0.0000 0.0000
Y1 Y 0.6667 0.3333 0.4333
Cd1 Cd 0.3333 0.6667 0.6253
# formation energy from the elements: -0.087 eV/atom
# energy: -4.189 eV/atom
# energy above the lowest structure with this stoichiometry: 117 meV/atom
# spin magnetization: 0.0 Bohr magnetons per cell

# TlSn3Te3 (PBE, relaxed)
data_TlSn3Te3
_cell_length_a 9.6515
_cell_length_b 9.6515
_cell_length_c 19.3155
_cell_angle_alpha 90.00
_cell_angle_beta 90.00
_cell_angle_gamma 120.00
_space_group_name_H-M_alt 'R -3'
_space_group_IT_number 148
_space_group_name_Hall '-R 3'
loop_
_atom_site_label
_atom_site_type_symbol
_atom_site_fract_x
_atom_site_fract_y
_atom_site_fract_z
Tl1 Tl 0.0000 0.0000 0.1408
Sn1 Sn 0.0055 0.6859 0.9297
Te1 Te 0.0184 0.2994 0.2472
# formation energy from raw total energies: -0.12 eV/atom
# energy: -3.515 eV/atom
# energy above the lowest structure with this stoichiometry: 37 meV/atom
# spin magnetization: 0.0 Bohr magnetons per cell

# GaReIr6 (PBE, relaxed)
data_GaReIr6
_cell_length_a 3.873
_cell_length_b 3.873
_cell_length_c 7.787
_cell_angle_alpha 90.00
_cell_angle_beta 90.00
_cell_angle_gamma 90.00
_space_group_name_H-M_alt 'P 4/m m m'
_space_group_IT_number 123
_space_group_name_Hall '-P 4 2'
loop_
_atom_site_label
_atom_site_type_symbol
_atom_site_fract_x
_atom_site_fract_y
_atom_site_fract_z
Ga1 Ga 0.000 0.000 0.000
Re1 Re 0.000 0.000 0.500
Ir1 Ir 0.000 0.500 0.257
Ir2 Ir 0.500 0.500 0.000
Ir3 Ir 0.500 0.500 0.500
# formation energy from the elements: -0.193 eV/atom
# energy: -8.773 eV/atom
# spin magnetization: 0.0 Bohr magnetons per cell

# YHo2Er9 (PBE, relaxed)
data_YHo2Er9
_cell_length_a 4.975
_cell_length_b 4.975
_cell_length_c 14.916
_cell_angle_alpha 90.00
_cell_angle_beta 90.00
_cell_angle_gamma 90.00
_space_group_name_H-M_alt 'P 4/m m m'
_space_group_IT_number 123
_space_group_name_Hall '-P 4 2'
loop_
_atom_site_label
_atom_site_type_symbol
_atom_site_fract_x
_atom_site_fract_y
_atom_site_fract_z
Y1 Y 0.000 0.000 0.000
Ho1 Ho 0.000 0.000 0.334
Er1 Er 0.000 0.500 0.168
Er2 Er 0.000 0.500 0.500
Er3 Er 0.500 0.500 0.000
Er4 Er 0.500 0.500 0.334
# formation energy from the elements: 0.024 eV/atom
# energy: -4.699 eV/atom
# energy above the lowest structure with this stoichiometry: 0 meV/atom
# spin magnetization: 0.0 Bohr magnetons per cell

# KTe2Au (PBE, relaxed)
data_KTe2Au
_cell_length_a 12.553
_cell_length_b 3.244
_cell_length_c 7.026
_cell_angle_alpha 90.00
_cell_angle_beta 100.39
_cell_angle_gamma 90.00
_space_group_name_H-M_alt 'C 1 2/m 1'
_space_group_IT_number 12
_space_group_name_Hall '-C 2y'
loop_
_atom_site_label
_atom_site_type_symbol
_atom_site_fract_x
_atom_site_fract_y
_atom_site_fract_z
K1 K 0.000 0.000 0.000
Te1 Te 0.183 0.500 0.742
Au1 Au 0.000 0.500 0.500
# formation energy from raw total energies: -0.32 eV/atom
# energy: -2.981 eV/atom
# spin magnetization: 0.0 Bohr magnetons per cell